# 1
## NdP2Pt7Pb2 (PBE)

Data for an optimized crystal structure of NdP2Pt7Pb2.

Structure (POSCAR):
```
NdP2Pt7Pb2
1.0
4.018 -0.001 0.002
0.004 4.018 0.002
2.014 2.011 15.218
Nd P Pt Pb
1 2 7 2
Cartesian
0.000 0.000 0.000
4.024 4.019 11.663
2.012 2.010 3.558
2.011 2.009 0.002
2.013 2.011 5.832
4.023 4.018 9.389
4.021 2.008 2.286
2.013 4.019 2.286
4.024 2.011 12.935
2.015 4.021 12.935
4.022 4.017 6.439
2.014 2.012 8.782
```

Results
N(E_F), states/eV/f.u.: 3.4
E_tot, eV per cell: -72.0
DFT formation energy, eV/atom: -0.562
Crystal system: tetragonal
Size of the total moment, μB per cell: 0.00
V, Å³/f.u.: 245.72



# 2
## TmTiZn4 (PBE)

Data for an optimized crystal structure of TmTiZn4.

Structure (POSCAR):
```
TmTiZn4
1.0
5.244 0.000 0.000
2.622 4.541 0.000
2.622 1.514 4.281
Zn Tm Ti
4 1 1
Cartesian
5.244 3.027 0.526
5.244 1.505 2.679
6.562 3.789 2.679
3.925 3.789 2.679
2.622 1.514 1.070
0.000 0.000 0.000
```

Results
N(E_F), states/eV/f.u.: 6.0
E_tot, eV per cell: -18.8
DFT formation energy, eV/atom: -0.226
Relative energy among the computed polymorphs, meV/atom: 47
Crystal system: cubic
Size of the total moment, μB per cell: 2.19
V, Å³/f.u.: 101.94



# 3
## FeTcAs2 (PBE)

Data for an optimized crystal structure of FeTcAs2.

Structure (POSCAR):
```
FeTcAs2
1.0
-0.412 0.219 3.040
1.634 -2.571 0.406
6.629 0.673 0.849
As Fe Tc
2 1 1
Cartesian
1.658 -2.556 0.408
4.107 -0.965 0.625
1.860 -0.365 1.834
5.992 -1.315 2.461
```

Results
N(E_F), states/eV/f.u.: 3.4
E_tot, eV per cell: -28.0
DFT formation energy, eV/atom: 0.039
Relative energy among the computed polymorphs, meV/atom: 70
Crystal system: tetragonal
Size of the total moment, μB per cell: 1.85
V, Å³/f.u.: 56.45



# 4
## TbEr2C (PBE)

Data for an optimized crystal structure of TbEr2C.

Structure (POSCAR):
```
TbEr2C
1.0
-1.140 1.279 3.053
-2.338 -1.797 1.887
5.996 -4.690 6.210
C Tb Er
1 1 2
Cartesian
1.259 -2.604 5.575
0.000 0.000 0.000
3.406 -3.055 4.558
-0.888 -2.154 6.591
```

Results
N(E_F), states/eV/f.u.: 4.6
E_tot, eV per cell: -23.4
DFT formation energy, eV/atom: -0.101
Relative energy among the computed polymorphs, meV/atom: 100
Crystal system: trigonal
Size of the total moment, μB per cell: 0.27
V, Å³/f.u.: 102.03



# 5
## Mg2ScZn (PBE)

Data for an optimized crystal structure of Mg2ScZn.

Structure (POSCAR):
```
Mg2ScZn
1.0
5.398 -0.023 0.000
-1.966 5.028 0.000
0.000 0.000 3.181
Mg Sc Zn
2 1 1
Cartesian
0.000 0.000 0.000
1.716 2.502 0.000
2.699 -0.011 1.590
-0.983 2.514 1.590
```

Results
N(E_F), states/eV/f.u.: 4.2
E_tot, eV per cell: -10.8
DFT formation energy, eV/atom: 0.008
Crystal system: orthorhombic
Size of the total moment, μB per cell: 0.00
V, Å³/f.u.: 86.18



# 6
## Y2HfAgAs (PBE)

Data for an optimized crystal structure of Y2HfAgAs.

Structure (POSCAR):
```
Y2HfAgAs
1.0
5.356 0.000 0.000
0.000 4.978 0.000
0.000 0.000 5.356
Y As Hf Ag
2 1 1 1
Cartesian
0.000 0.000 2.678
2.678 0.000 0.000
0.000 0.000 0.000
0.000 2.489 0.000
2.678 2.489 2.678
```

Results
N(E_F), states/eV/f.u.: 7.1
E_tot, eV per cell: -30.7
DFT formation energy, eV/atom: -0.062
Crystal system: tetragonal
Size of the total moment, μB per cell: 0.00
V, Å³/f.u.: 142.80



# 7
## Tb5Ag3Pt12 (PBE)

Data for an optimized crystal structure of Tb5Ag3Pt12.

Structure (POSCAR):
```
Tb5Ag3Pt12
1.0
-7.776 10.529 3.814
-5.364 -11.582 4.791
12.581 1.594 5.006
Ag Tb Pt
12 20 48
Cartesian
-6.271 3.753 5.283
-9.254 0.726 7.557
0.924 -3.742 8.152
2.103 1.782 3.430
-4.329 8.163 5.188
-3.123 -2.892 5.676
2.564 3.433 7.935
3.770 -7.623 8.423
-2.663 -1.241 10.182
-1.483 4.283 5.459
8.695 -0.185 6.055
5.711 -3.212 8.328
0.162 -2.629 3.525
-2.682 -5.791 2.396
0.000 0.000 0.000
-2.684 1.252 3.254
2.402 6.061 4.410
-6.570 -0.526 4.303
-0.277 -6.773 5.947
4.506 7.843 7.839
-4.467 1.256 7.732
5.849 3.696 5.783
-6.408 -3.155 7.828
-0.280 0.270 6.806
-3.888 5.264 1.907
6.290 0.797 2.503
3.907 -0.715 5.879
-5.065 -7.303 5.772
3.608 -4.994 4.899
-0.282 7.313 7.664
2.125 -0.711 10.357
-0.721 3.169 10.086
-5.543 6.118 3.887
-0.379 -2.378 6.205
-5.713 6.086 6.546
-3.858 3.601 4.056
-0.209 -1.288 9.031
-8.281 3.348 7.056
-1.552 -4.612 7.063
-3.608 -9.601 5.408
-1.143 -3.626 9.902
-6.857 1.199 6.383
-3.818 3.723 6.717
-10.574 -1.745 8.037
2.157 -6.008 6.961
-3.962 -1.113 3.810
-1.209 -9.290 6.524
3.177 3.568 5.164
1.431 -0.560 2.242
-5.909 -3.029 5.131
-8.106 -1.304 8.938
-2.469 -3.133 2.922
1.959 -5.781 9.608
-2.705 -0.819 7.372
-4.487 0.919 10.457
3.715 5.564 9.151
2.145 1.359 6.239
3.928 -0.379 3.154
-4.275 -5.024 4.460
7.546 1.845 4.673
-2.518 6.322 4.003
1.909 3.674 10.689
5.349 3.570 8.480
-3.737 -3.027 8.447
-1.991 1.101 11.370
0.650 9.831 7.087
-2.716 6.548 6.650
10.014 2.285 5.574
3.403 1.654 9.801
0.584 4.167 3.709
6.298 -0.658 7.228
3.259 -3.182 6.894
3.049 10.142 8.203
0.993 5.152 6.548
3.299 -3.060 9.555
7.722 -2.807 6.555
-0.351 1.829 4.580
5.153 -5.545 7.066
-0.180 2.919 7.406
4.984 -5.577 9.724
```

Results
N(E_F), states/eV/f.u.: 10.4
E_tot, eV per cell: -421.5
DFT formation energy, eV/atom: -0.059
Crystal system: cubic
Size of the total moment, μB per cell: 0.00
V, Å³/f.u.: 487.67



# 8
## Ce2AgPd9 (PBE)

Data for an optimized crystal structure of Ce2AgPd9.

Structure (POSCAR):
```
Ce2AgPd9
1.0
4.136 0.000 0.000
0.000 4.136 0.000
0.000 0.000 12.116
Ce Ag Pd
2 1 9
Cartesian
0.000 0.000 3.918
0.000 0.000 8.199
0.000 0.000 0.000
2.068 2.068 0.000
2.068 2.068 4.028
2.068 2.068 8.089
2.068 0.000 1.990
2.068 0.000 6.058
2.068 0.000 10.127
0.000 2.068 1.990
0.000 2.068 6.058
0.000 2.068 10.127
```

Results
N(E_F), states/eV/f.u.: 6.4
E_tot, eV per cell: -68.4
DFT formation energy, eV/atom: -0.575
Crystal system: tetragonal
Size of the total moment, μB per cell: 0.01
V, Å³/f.u.: 207.25